[1]
# LaSm2NiPt8 | OQMD via LeMat-Bulk | GGA-PBE | relaxed
data_LaSm2NiPt8
_chemical_formula_sum 'La1 Sm2 Ni1 Pt8'
_space_group_name_H-M_alt 'P 1'
_space_group_IT_number 1
_cell_length_a 9.2683
_cell_length_b 9.2683
_cell_length_c 9.2683
_cell_angle_alpha 34.32
_cell_angle_beta 34.32
_cell_angle_gamma 34.32
loop_
_space_group_symop_operation_xyz
'x,y,z'
loop_
_atom_site_label
_atom_site_type_symbol
_atom_site_fract_x
_atom_site_fract_y
_atom_site_fract_z
La1 La 0.0000 0.0000 0.0000
Sm1 Sm 0.1408 0.1408 0.1408
Sm2 Sm 0.8592 0.8592 0.8592
Ni1 Ni 0.5000 0.5000 0.5000
Pt1 Pt 0.0870 0.5886 0.5886
Pt2 Pt 0.3327 0.3327 0.3327
Pt3 Pt 0.4114 0.4114 0.9130
Pt4 Pt 0.4114 0.9130 0.4114
Pt5 Pt 0.5886 0.0870 0.5886
Pt6 Pt 0.5886 0.5886 0.0870
Pt7 Pt 0.6673 0.6673 0.6673
Pt8 Pt 0.9130 0.4114 0.4114
# Calculated volume in Å³/atom: 18.8
# Energy relative to the elements in eV per atom: -0.904

=====

[2]
# Np | OQMD via LeMat-Bulk | GGA-PBE | relaxed
data_Np
_chemical_formula_sum 'Np3'
_space_group_name_H-M_alt 'P 1'
_space_group_IT_number 1
_cell_length_a 3.6509
_cell_length_b 3.6509
_cell_length_c 4.4663
_cell_angle_alpha 90.00
_cell_angle_beta 90.00
_cell_angle_gamma 120.00
loop_
_space_group_symop_operation_xyz
'x,y,z'
loop_
_atom_site_label
_atom_site_type_symbol
_atom_site_fract_x
_atom_site_fract_y
_atom_site_fract_z
Np1 Np 0.0000 0.3309 0.1667
Np2 Np 0.3309 0.0000 0.8333
Np3 Np 0.6691 0.6691 0.5000
# Excess energy over the best structure of this formula in the dataset in kcal/mol of atoms: 3.43
# Calculated volume in Å³/atom: 17.2
# Energy relative to the elements in eV per atom: 0.149

=====

[3]
# LaMoHN2 | OQMD via LeMat-Bulk | GGA-PBE | relaxed
data_LaMoHN2
_chemical_formula_sum 'La1 Mo1 H1 N2'
_space_group_name_H-M_alt 'P 1'
_space_group_IT_number 1
_cell_length_a 4.0534
_cell_length_b 4.0534
_cell_length_c 3.6541
_cell_angle_alpha 90.00
_cell_angle_beta 90.00
_cell_angle_gamma 90.00
loop_
_space_group_symop_operation_xyz
'x,y,z'
loop_
_atom_site_label
_atom_site_type_symbol
_atom_site_fract_x
_atom_site_fract_y
_atom_site_fract_z
La1 La 0.0000 0.0000 0.0000
Mo1 Mo 0.5000 0.5000 0.5000
H1 H 0.5000 0.5000 0.0000
N1 N 0.0000 0.5000 0.5000
N2 N 0.5000 0.0000 0.5000
# Calculated volume in Å³/atom: 12.0

=====

[4]
# Hf2ZrNi4Bi4 | OQMD via LeMat-Bulk | GGA-PBE | relaxed
data_Hf2ZrNi4Bi4
_chemical_formula_sum 'Hf2 Zr1 Ni4 Bi4'
_space_group_name_H-M_alt 'P 1'
_space_group_IT_number 1
_cell_length_a 7.5447
_cell_length_b 7.5447
_cell_length_c 7.5447
_cell_angle_alpha 131.37
_cell_angle_beta 131.37
_cell_angle_gamma 71.23
loop_
_space_group_symop_operation_xyz
'x,y,z'
loop_
_atom_site_label
_atom_site_type_symbol
_atom_site_fract_x
_atom_site_fract_y
_atom_site_fract_z
Hf1 Hf 0.2500 0.7500 0.5000
Hf2 Hf 0.7500 0.2500 0.5000
Zr1 Zr 0.0000 0.0000 0.0000
Ni1 Ni 0.1052 0.1052 0.4723
Ni2 Ni 0.3672 0.8948 0.0000
Ni3 Ni 0.6328 0.6328 0.5277
Ni4 Ni 0.8948 0.3672 0.0000
Bi1 Bi 0.0000 0.5000 0.5000
Bi2 Bi 0.2669 0.2669 0.0000
Bi3 Bi 0.5000 0.0000 0.5000
Bi4 Bi 0.7331 0.7331 0.0000
# Calculated volume in Å³/atom: 21.5

=====

Number 1: VASP energy -6.600 eV per atom. Number 2: VASP energy -12.621 eV per atom. Number 3: VASP energy -7.985 eV per atom. Number 4: VASP energy -6.433 eV per atom.